# 1
Entry from Alexandria: a relaxed LaIr2Ru crystal (GGA-PBE).

Output
As for the space-group type: No. 99. The final energy is -7.831 eV per atom. The value obtained for the density is 14.6 g/cm3. The calculation puts the density of states at the Fermi level at 4.54 states/eV per cell.

The structure in POSCAR format:
```
LaIr2Ru
1.0
2.9500 0.0000 0.0000
0.0000 2.9500 0.0000
0.0000 0.0000 8.1690
Ir La Ru
2 1 1
direct
0.0000 0.0000 0.9946
0.5000 0.5000 0.2118
0.0000 0.0000 0.4972
0.5000 0.5000 0.7964
```

---

# 2
Entry from Alexandria: a relaxed SiSe2Br crystal (GGA-PBE).

Output
As for the space-group type: No. 122. The final energy is -3.507 eV per atom. The value obtained for the density is 4.1 g/cm3. The calculation puts the density of states at the Fermi level at 10.34 states/eV per cell.

The structure in POSCAR format:
```
SiSe2Br
1.0
7.0733 0.0000 0.0000
0.0000 7.0733 0.0000
3.5367 3.5367 4.2572
Si Se Br
2 4 2
direct
0.5000 0.5000 0.0000
0.2500 0.7500 0.5000
0.5384 0.1250 0.2500
0.2116 0.6250 0.2500
0.3750 0.4616 0.7500
0.8750 0.7884 0.7500
0.0000 0.0000 0.0000
0.7500 0.2500 0.5000
```

---

# 3
Entry from Alexandria: a relaxed Dy7Ga2Pd2 crystal (GGA-PBE).

Output
As for the space-group type: No. 65. The final energy is -4.786 eV per atom. The value obtained for the density is 8.2 g/cm3. The calculation puts the density of states at the Fermi level at 9.67 states/eV per cell.

The structure in POSCAR format:
```
Dy7Ga2Pd2
1.0
-3.1657 4.5395 3.7913
-4.8642 -4.7930 1.6768
4.4812 -3.2108 3.8227
Dy Ga Pd
7 2 2
direct
0.0000 0.2653 0.5000
0.5000 0.7347 0.0000
0.0000 0.7347 0.5000
0.5000 0.2653 0.0000
0.0000 0.0000 0.0000
0.5000 0.7396 0.5000
0.5000 0.2604 0.5000
0.8340 0.5000 0.8340
0.1660 0.5000 0.1660
0.7068 0.0000 0.2932
0.2932 0.0000 0.7068
```

---

# 4
Entry from Alexandria: a relaxed MgSi2Ru2 crystal (GGA-PBE).

Output
As for the space-group type: No. 127. The final energy is -6.738 eV per atom. The value obtained for the density is 6.7 g/cm3. The calculation puts the density of states at the Fermi level at 3.13 states/eV per cell.

The structure in POSCAR format:
```
MgSi2Ru2
1.0
7.0108 0.0000 0.0000
0.0000 7.0108 0.0000
0.0000 0.0000 2.8603
Ru Si Mg
4 4 2
direct
0.1556 0.6556 0.5000
0.6556 0.8444 0.5000
0.8444 0.3444 0.5000
0.3444 0.1556 0.5000
0.3629 0.8629 0.0000
0.8629 0.6371 0.0000
0.6371 0.1371 0.0000
0.1371 0.3629 0.0000
0.0000 0.0000 0.0000
0.5000 0.5000 0.0000
```

---

# 5
Entry from Alexandria: a relaxed Zr3Si4 crystal (GGA-PBE).

Output
As for the space-group type: No. 191. The final energy is -6.931 eV per atom. The value obtained for the density is 4.8 g/cm3. The calculation puts the density of states at the Fermi level at 5.14 states/eV per cell.

The structure in POSCAR format:
```
Zr3Si4
1.0
2.8827 -4.9930 0.0000
2.8827 4.9930 0.0000
0.0000 0.0000 4.6220
Zr Si
3 4
direct
0.0000 0.5000 0.0000
0.5000 0.5000 0.0000
0.5000 0.0000 0.0000
0.0000 0.0000 0.2458
0.0000 0.0000 0.7542
0.6667 0.3333 0.5000
0.3333 0.6667 0.5000
```

---

# 6
Entry from Alexandria: a relaxed NbVPt2 crystal (GGA-PBE).

Output
As for the space-group type: No. 123. The final energy is -8.412 eV per atom. The value obtained for the density is 14.4 g/cm3. The calculation puts the density of states at the Fermi level at 2.43 states/eV per cell.

The structure in POSCAR format:
```
NbVPt2
1.0
2.7684 0.0000 0.0000
0.0000 2.7684 0.0000
0.0000 0.0000 8.0425
Nb Pt V
1 2 1
direct
0.5000 0.5000 0.5000
0.0000 0.0000 0.7648
0.0000 0.0000 0.2352
0.5000 0.5000 0.0000
```